#a
Computed, not measured: crystalline Cr2HgCl at its relaxed geometry at the PBEsol level of DFT.

Calculated values
SG: F-43m
Fermi-level density of states: 2.33 states/eV/cell

Geometry as POSCAR:
```
Cr2HgCl
1.0
-2.362 -1.915 -3.565
2.119 -0.666 -4.126
1.031 -4.341 -1.431
Cl Cr Hg
1 2 1
Direct
0.500 0.500 0.500 Cl
0.000 0.000 0.000 Cr
0.250 0.250 0.250 Cr
0.750 0.750 0.750 Hg
```

#b
Computed, not measured: crystalline Cr2HgCl at its relaxed geometry at the PBEsol level of DFT.

Calculated values
SG: Fm-3m
Fermi-level density of states: 1.81 states/eV/cell

Geometry as POSCAR:
```
Cr2HgCl
1.0
4.728 0.000 0.000
2.364 4.094 0.000
2.364 1.365 3.860
Cl Hg Cr
1 1 2
Direct
0.000 0.000 0.000 Cl
0.500 0.500 0.500 Hg
0.250 0.250 0.250 Cr
0.750 0.750 0.750 Cr
```

Most stable structure, least stable structure: #b, #a.

#a
Computed, not measured: crystalline Cr2InCl at its relaxed geometry at the PBEsol level of DFT.

Calculated values
SG: C2/m
Fermi-level density of states: 3.57 states/eV/cell

Geometry as POSCAR:
```
Cr2InCl
1.0
3.067 0.074 0.090
-0.113 4.909 0.196
-0.113 -0.781 4.851
Cr In Cl
2 1 1
Direct
0.000 0.500 0.000 Cr
0.000 0.000 0.500 Cr
0.500 0.500 0.500 In
0.500 0.000 0.000 Cl
```

#b
Computed, not measured: crystalline Cr2InCl at its relaxed geometry at the PBEsol level of DFT.

Calculated values
SG: Cmmm
Fermi-level density of states: 2.09 states/eV/cell

Geometry as POSCAR:
```
Cr2InCl
1.0
3.185 -0.049 0.000
-1.335 2.892 0.000
0.000 0.000 8.233
Cr Cl In
2 1 1
Direct
0.000 0.000 0.764 Cr
0.000 0.000 0.236 Cr
0.500 0.500 0.000 Cl
0.500 0.500 0.500 In
```

Most stable structure, least stable structure: #b, #a.